Entry 1:
A plane-wave DFT calculation with GGA-PBE was carried out for an optimized crystal structure of Pm3CuBr3.

a = 11.866 Å, b = 11.866 Å, c = 11.866 Å
α = 90.00°, β = 90.00°, γ = 90.00°
Space group I4_132 (No. 214)
Asymmetric unit:
1 Pm 0.113 0.363 0.125 x24
2 Cu 0.125 0.125 0.125 x8
3 Br 0.117 0.133 0.625 x24

**Formation energy (no corrections)**: -1.14 eV per atom

---

Entry 2:
A plane-wave DFT calculation with GGA-PBE was carried out for an optimized crystal structure of AcDy2Pb.

a = 3.6570 Å, b = 3.6570 Å, c = 36.8510 Å
α = 90.00°, β = 90.00°, γ = 120.00°
Space group R-3m (No. 166, hexagonal axes)
Asymmetric unit:
1 Ac 0.0000 0.0000 0.0000 x3
2 Dy 0.0000 0.0000 0.4143 x6
3 Pb 0.0000 0.0000 0.5000 x3

**ΔE_f**: 8.6 kJ per mole of atoms
**Energy relative to the lowest polymorph listed for this composition**: 309 meV/atom

---

Entry 3:
A plane-wave DFT calculation with GGA-PBE was carried out for an optimized crystal structure of Th3BiPtC.

a = 8.807 Å, b = 4.051 Å, c = 9.367 Å
α = 90.00°, β = 111.65°, γ = 90.00°
Space group P2_1/m (No. 11)
Asymmetric unit:
1 Th 0.063 0.250 0.377 x2
2 Th 0.177 0.250 0.945 x2
3 Th 0.368 0.750 0.706 x2
4 Bi 0.319 0.750 0.305 x2
5 Pt 0.423 0.750 0.048 x2
6 C 0.146 0.250 0.668 x2

**ΔE_f**: -57.6 kJ per mole of atoms

---

Entry 4:
A plane-wave DFT calculation with GGA-PBE was carried out for an optimized crystal structure of BaZn2Te.

a = 8.050 Å, b = 8.050 Å, c = 8.050 Å
α = 90.00°, β = 90.00°, γ = 90.00°
Space group F-43m (No. 216)
Asymmetric unit:
1 Ba 0.000 0.000 0.000 x4
2 Zn 0.000 0.000 0.500 x4
3 Zn 0.250 0.250 0.750 x4
4 Te 0.250 0.250 0.250 x4

**Formation energy (no corrections)**: -0.38 eV per atom

---

Entry 5:
A plane-wave DFT calculation with GGA-PBE was carried out for an optimized crystal structure of LiScReOs.

a = 6.237 Å, b = 6.237 Å, c = 6.237 Å
α = 90.00°, β = 90.00°, γ = 90.00°
Space group F-43m (No. 216)
Asymmetric unit:
1 Li 0.000 0.000 0.000 x4
2 Sc 0.250 0.250 0.750 x4
3 Re 0.250 0.250 0.250 x4
4 Os 0.000 0.000 0.500 x4

**ΔE_f**: -3.6 kJ per mole of atoms

---

Entry 6:
A plane-wave DFT calculation with GGA-PBE was carried out for an optimized crystal structure of HfPa2As.

a = 3.4717 Å, b = 3.4717 Å, c = 28.1967 Å
α = 90.00°, β = 90.00°, γ = 120.00°
Space group R-3m (No. 166, hexagonal axes)
Asymmetric unit:
1 Hf 0.0000 0.0000 0.0000 x3
2 Pa 0.0000 0.0000 0.2393 x6
3 As 0.0000 0.0000 0.5000 x3

**ΔE_f**: -7.8 kJ per mole of atoms
**Energy relative to the lowest polymorph listed for this composition**: 235 meV/atom

---

Entry 7:
A plane-wave DFT calculation with GGA-PBE was carried out for an optimized crystal structure of SmCu2Hg.

a = 6.729 Å, b = 6.729 Å, c = 6.729 Å
α = 90.00°, β = 90.00°, γ = 90.00°
Space group Fm-3m (No. 225)
Asymmetric unit:
1 Sm 0.000 0.000 0.000 x4
2 Cu 0.250 0.250 0.250 x8
3 Hg 0.000 0.000 0.500 x4

**ΔE_f**: -16.8 kJ per mole of atoms

---

Entry 8:
A plane-wave DFT calculation with GGA-PBE was carried out for an optimized crystal structure of Sm8Sb3Te4P.

a = 8.8166 Å, b = 8.8166 Å, c = 21.8090 Å
α = 90.00°, β = 90.00°, γ = 120.00°
Space group R-3m (No. 166, hexagonal axes)
Asymmetric unit:
1 Sm 0.0000 0.0000 0.2467 x6
2 Sm 0.0179 0.5090 0.2426 x18
3 Sb 0.0000 0.5000 0.5000 x9
4 Te 0.0000 0.0000 0.0000 x3
5 Te 0.0000 0.5000 0.0000 x9
6 P 0.0000 0.0000 0.5000 x3

**Formation energy (no corrections)**: -1.37 eV per atom

---

Entry 9:
A plane-wave DFT calculation with GGA-PBE was carried out for an optimized crystal structure of AlBC3.

a = 3.894 Å, b = 3.894 Å, c = 3.894 Å
α = 90.00°, β = 90.00°, γ = 90.00°
Space group Pm-3m (No. 221)
Asymmetric unit:
1 Al 0.000 0.000 0.000 x1
2 B 0.500 0.500 0.500 x1
3 C 0.000 0.000 0.500 x3

**ΔE_f**: 307.0 kJ per mole of atoms
**Energy relative to the lowest polymorph listed for this composition**: 1026 meV/atom

---

Entry 10:
A plane-wave DFT calculation with GGA-PBE was carried out for an optimized crystal structure of CdAs3.

a = 3.951 Å, b = 3.951 Å, c = 22.507 Å
α = 90.00°, β = 90.00°, γ = 90.00°
Space group I4/mmm (No. 139)
Asymmetric unit:
1 Cd 0.000 0.000 0.146 x4
2 As 0.000 0.000 0.411 x4
3 As 0.000 0.500 0.000 x4
4 As 0.000 0.500 0.250 x4

**ΔE_f**: 24.6 kJ per mole of atoms
**Energy relative to the lowest polymorph listed for this composition**: 282 meV/atom

---

Entry 11:
A plane-wave DFT calculation with GGA-PBE was carried out for an optimized crystal structure of TaGeSe4.

a = 14.756 Å, b = 3.539 Å, c = 6.658 Å
α = 90.00°, β = 116.61°, γ = 90.00°
Space group C2/m (No. 12)
Asymmetric unit:
1 Ta 0.000 0.000 0.000 x2
2 Ge 0.000 0.500 0.500 x2
3 Se 0.115 0.000 0.430 x4
4 Se 0.117 0.500 0.950 x4

**Formation energy (no corrections)**: -0.48 eV per atom

---

Entry 12:
A plane-wave DFT calculation with GGA-PBE was carried out for an optimized crystal structure of CaPbO3.

a = 5.980 Å, b = 8.278 Å, c = 5.752 Å
α = 90.00°, β = 90.00°, γ = 90.00°
Space group Pnma (No. 62)
Asymmetric unit:
1 Ca 0.059 0.250 0.018 x4
2 Pb 0.000 0.000 0.500 x4
3 O 0.064 0.750 0.370 x4
4 O 0.196 0.569 0.809 x8

**Formation energy (no corrections)**: -1.76 eV per atom

---

| no. | volume (A^3/atom) | M_tot (μB/f.u.) |
| --- | --- | --- |
| 1 | 29.8 | 0.00 |
| 2 | 35.6 | 0.00 |
| 3 | 25.9 | 0.00 |
| 4 | 32.6 | 0.00 |
| 5 | 15.2 | 0.00 |
| 6 | 24.5 | 0.00 |
| 7 | 19.0 | 0.00 |
| 8 | 30.6 | 0.00 |
| 9 | 11.8 | 0.00 |
| 10 | 22.0 | 0.00 |
| 11 | 25.9 | 0.00 |
| 12 | 14.2 | 0.00 |